Entry from the Alexandria database: a relaxed structure of Cd4InHg12 (PBE-GGA).

Results
- energy of formation (meV per atom) = 38
- DOS(E_F) (states/eV/atom) = 0.37

The structure in POSCAR format:
```
Cd4InHg12
1.0
-2.9855 -1.8881 -5.1379
10.0173 -0.0152 -1.8646
-2.8324 -6.4252 5.7563
In Hg Cd
1 12 4
Cartesian
0.0000 -0.0001 0.0000
2.5010 -4.8713 -3.6416
6.6389 -2.4896 -1.3123
3.1934 -2.0463 -2.3712
1.0061 -6.2822 1.1250
-0.0641 -3.0243 -4.2862
-2.4395 -5.8389 0.0661
-0.6084 -3.0982 -0.4647
5.7301 -2.2076 -4.2632
4.8078 -5.2303 -0.7815
1.6984 -3.4572 2.3954
-1.5307 -6.1209 3.0170
4.2635 -5.3042 3.0400
-4.4017 -5.1007 -2.2598
-4.3252 -7.3693 3.1874
2.0997 -4.1643 -0.6231
5.0087 -0.0076 -0.9323
```

Entry from the Alexandria database: a relaxed structure of Cd5In4Hg (PBE-GGA).

Results
- energy of formation (meV per atom) = 36
- DOS(E_F) (states/eV/atom) = 0.24

The structure in POSCAR format:
```
Cd5In4Hg
1.0
-3.0586 1.7535 -0.4576
-1.5131 -2.9651 -1.2482
-5.5920 -4.9298 18.4891
Cd In Hg
5 4 1
Cartesian
-7.3452 -5.0660 15.8749
-6.2135 -4.0683 12.1332
-2.8186 -1.0754 0.9085
-3.9503 -2.0731 4.6502
-5.0819 -3.0707 8.3917
-1.1042 -0.9734 3.6508
-2.2380 -1.9730 7.3998
-3.3540 -2.9568 11.0894
-4.4878 -3.9564 14.8384
0.0000 0.0000 0.0000
```

Which formula does entry 2 have? Cd5In4Hg

energy of formation of number 1 (Cd4InHg12)? 38 meV per atom